No. 1
VASP calculation (PBE) on a relaxed structure of AcThAg2.

Cell: 3.9520 3.9520 9.3976 Å, 77.86 77.86 60.00°
Element x y z (fractional)
Ac (0.0000, 0.0000, 0.0000)
Ag (0.2455, 0.2455, 0.2635)
Ag (0.7545, 0.7545, 0.7365)
Th (0.5000, 0.5000, 0.5000)

Properties
* N(E_F): 4.0 states/eV/cell
* crystal system: trigonal
* ΔE to the lowest computed polymorph: 195 meV/atom
* energy of formation: 0.084 eV per atom
* density: 9.09 g/cm³
* spin magnetization: 0.000 μB per cell
* SG: R-3m

No. 2
VASP calculation (PBE) on a relaxed structure of AcThAg2.

Cell: 3.7742 3.7742 7.9898 Å, 90.00 90.00 90.00°
Element x y z (fractional)
Ac (0.5000, 0.5000, 0.5000)
Ag (0.0000, 0.0000, 0.7664)
Ag (0.0000, 0.0000, 0.2336)
Th (0.5000, 0.5000, 0.0000)

Properties
* N(E_F): 3.7 states/eV/cell
* crystal system: tetragonal
* ΔE to the lowest computed polymorph: 0 meV/atom
* energy of formation: -0.111 eV per atom
* density: 9.85 g/cm³
* spin magnetization: 0.002 μB per cell
* SG: P4/mmm

No. 3
VASP calculation (PBE) on a relaxed structure of Ac2ThAg6.

Cell: 3.7558 8.4613 8.4613 Å, 120.00 90.00 90.00°
Element x y z (fractional)
Ac (0.0000, 0.3333, 0.6667)
Ac (0.0000, 0.6667, 0.3333)
Th (0.0000, 0.0000, 0.0000)
Ag (0.5000, 0.3299, 0.3299)
Ag (0.5000, 0.6701, 0.6701)
Ag (0.5000, 0.0000, 0.6701)
Ag (0.5000, 0.6701, 0.0000)
Ag (0.5000, 0.3299, 0.0000)
Ag (0.5000, 0.0000, 0.3299)

Properties
* N(E_F): 6.9 states/eV/cell
* crystal system: hexagonal
* energy of formation: -0.215 eV per atom
* density: 9.51 g/cm³
* spin magnetization: 0.000 μB per cell
* SG: P6/mmm

No. 4
VASP calculation (PBE) on a relaxed structure of Ac5ThAg4.

Cell: 3.9139 3.9139 21.1913 Å, 90.00 90.00 90.00°
Element x y z (fractional)
Ac (0.5000, 0.5000, 0.1192)
Ac (0.5000, 0.5000, 0.3094)
Ac (0.5000, 0.5000, 0.5000)
Ac (0.5000, 0.5000, 0.6906)
Ac (0.5000, 0.5000, 0.8808)
Th (0.0000, 0.0000, 0.0000)
Ag (0.0000, 0.0000, 0.2157)
Ag (0.0000, 0.0000, 0.4052)
Ag (0.0000, 0.0000, 0.5948)
Ag (0.0000, 0.0000, 0.7843)

Properties
* N(E_F): 10.4 states/eV/cell
* crystal system: tetragonal
* energy of formation: -0.172 eV per atom
* density: 9.20 g/cm³
* spin magnetization: 0.000 μB per cell
* SG: P4/mmm

No. 5
VASP calculation (PBE) on a relaxed structure of Ac2TiAg.

Cell: 3.5945 3.5945 11.8013 Å, 81.24 81.24 60.00°
Element x y z (fractional)
Ac (0.0909, 0.0909, 0.7272)
Ac (0.9091, 0.9091, 0.2728)
Ag (0.5000, 0.5000, 0.5000)
Ti (0.0000, 0.0000, 0.0000)

Properties
* N(E_F): 5.4 states/eV/cell
* crystal system: trigonal
* energy of formation: 0.604 eV per atom
* density: 7.79 g/cm³
* spin magnetization: 2.096 μB per cell
* SG: R-3m

No. 6
VASP calculation (PBE) on a relaxed structure of AcTiAg.

Cell: 5.2038 3.6778 11.6414 Å, 90.00 90.00 135.03°
Element x y z (fractional)
Ag (0.6945, 0.3889, 0.0000)
Ag (0.1944, 0.3888, 0.5000)
Ac (0.6944, 0.3888, 0.3109)
Ac (0.6944, 0.3888, 0.6891)
Ti (0.1945, 0.3889, 0.8894)
Ti (0.1945, 0.3889, 0.1106)

Properties
* N(E_F): 6.3 states/eV/cell
* crystal system: tetragonal
* energy of formation: 0.173 eV per atom
* density: 8.07 g/cm³
* spin magnetization: 3.150 μB per cell
* SG: P4/mmm

Q: Which value of energy of formation does entry 2 give?
A: -0.111 eV per atom